# 1
{"formula": "Os6W7", "functional": "GGA-PBE", "state": "relaxed", "delta_e_f_ev_per_atom": 0.422, "e_tot_ev_per_atom": -11.74, "dos_ef_per_ev_atom": 0.690, "lattice_angstrom": [[2.573, 1.485, 9.000], [-2.573, 1.485, 9.000], [0.000, -2.971, 9.000]], "species": ["Os", "Os", "Os", "Os", "Os", "Os", "W", "W", "W", "W", "W", "W", "W"], "fractional_positions": [[0.046, 0.046, 0.046], [0.155, 0.155, 0.155], [0.332, 0.332, 0.332], [0.668, 0.668, 0.668], [0.845, 0.845, 0.845], [0.954, 0.954, 0.954], [0.084, 0.588, 0.588], [0.412, 0.412, 0.916], [0.412, 0.916, 0.412], [0.500, 0.500, 0.500], [0.588, 0.084, 0.588], [0.588, 0.588, 0.084], [0.916, 0.412, 0.412]]}

# 2
{"formula": "LiTbRh", "functional": "GGA-PBE", "state": "relaxed", "delta_e_f_ev_per_atom": -0.376, "relative_energy_ev_per_atom": 0.151, "e_tot_ev_per_atom": -5.01, "dos_ef_per_ev_atom": 0.735, "lattice_angstrom": [[3.487, 0.000, 0.000], [0.000, 3.487, 0.000], [0.000, 0.000, 9.306]], "species": ["Li", "Li", "Tb", "Tb", "Rh", "Rh"], "fractional_positions": [[0.000, 0.000, 0.000], [0.500, 0.500, 0.500], [0.000, 0.000, 0.296], [0.500, 0.500, 0.796], [0.000, 0.000, 0.634], [0.500, 0.500, 0.134]]}

# 3
{"formula": "Ac4In2GaHg", "functional": "GGA-PBE", "state": "relaxed", "delta_e_f_ev_per_atom": -0.418, "e_tot_ev_per_atom": -3.57, "dos_ef_per_ev_atom": 1.427, "lattice_angstrom": [[2.872, 1.658, 9.358], [-2.872, 1.658, 9.358], [0.000, -3.317, 9.358]], "species": ["Ac", "Ac", "Ac", "Ac", "In", "In", "Ga", "Hg"], "fractional_positions": [[0.123, 0.123, 0.123], [0.373, 0.373, 0.373], [0.627, 0.627, 0.627], [0.877, 0.877, 0.877], [0.248, 0.248, 0.248], [0.752, 0.752, 0.752], [0.000, 0.000, 0.000], [0.500, 0.500, 0.500]]}

Q: Which formula does entry 2 have?
A: LiTbRh

Please write out number 2 again, unchanged.
{"formula": "LiTbRh", "functional": "GGA-PBE", "state": "relaxed", "delta_e_f_ev_per_atom": -0.376, "relative_energy_ev_per_atom": 0.151, "e_tot_ev_per_atom": -5.01, "dos_ef_per_ev_atom": 0.735, "lattice_angstrom": [[3.487, 0.000, 0.000], [0.000, 3.487, 0.000], [0.000, 0.000, 9.306]], "species": ["Li", "Li", "Tb", "Tb", "Rh", "Rh"], "fractional_positions": [[0.000, 0.000, 0.000], [0.500, 0.500, 0.500], [0.000, 0.000, 0.296], [0.500, 0.500, 0.796], [0.000, 0.000, 0.634], [0.500, 0.500, 0.134]]}

Please write out number 2 again, unchanged.
{"formula": "LiTbRh", "functional": "GGA-PBE", "state": "relaxed", "delta_e_f_ev_per_atom": -0.376, "relative_energy_ev_per_atom": 0.151, "e_tot_ev_per_atom": -5.01, "dos_ef_per_ev_atom": 0.735, "lattice_angstrom": [[3.487, 0.000, 0.000], [0.000, 3.487, 0.000], [0.000, 0.000, 9.306]], "species": ["Li", "Li", "Tb", "Tb", "Rh", "Rh"], "fractional_positions": [[0.000, 0.000, 0.000], [0.500, 0.500, 0.500], [0.000, 0.000, 0.296], [0.500, 0.500, 0.796], [0.000, 0.000, 0.634], [0.500, 0.500, 0.134]]}